Record 1
Th2Zn2Au3 | the Alexandria database | PBE-GGA | relaxed; calculated density = 12.70 Mg/m³; SG = Cmcm, No. 63; polymorph energy (0 for the lowest one) = 0.000 eV per atom
1.0
4.100 0.000 -0.978
0.000 7.439 0.000
0.243 0.000 10.108
Th Zn Au
4 4 6
Direct
0.940 0.250 0.880
0.843 0.750 0.687
0.157 0.250 0.313
0.060 0.750 0.120
0.693 0.942 0.386
0.693 0.558 0.386
0.307 0.442 0.614
0.307 0.058 0.614
0.566 0.443 0.132
0.434 0.557 0.868
0.774 0.250 0.548
0.566 0.057 0.132
0.226 0.750 0.452
0.434 0.943 0.868

***

Record 2
Th2Zn5Au3 | the Alexandria database | PBE-GGA | relaxed; calculated density = 11.40 Mg/m³; SG = Ibam, No. 72; VASP energy = -3.514 eV/atom
1.0
5.618 0.000 2.126
2.495 8.148 1.894
-0.088 -0.378 8.721
Zn Au Th
10 6 4
Direct
0.979 0.271 0.271
0.021 0.729 0.729
0.750 0.500 0.500
0.642 0.739 0.976
0.250 0.500 0.500
0.358 0.261 0.024
0.858 0.024 0.261
0.479 0.271 0.271
0.142 0.976 0.739
0.521 0.729 0.729
0.250 0.000 0.000
0.882 0.773 0.463
0.750 0.000 0.000
0.382 0.463 0.773
0.118 0.227 0.537
0.618 0.537 0.227
0.378 0.893 0.352
0.122 0.648 0.107
0.622 0.107 0.648
0.878 0.352 0.893

***

Record 3
Th3Zn4Au4 | the Alexandria database | PBE-GGA | relaxed; calculated density = 12.27 Mg/m³; SG = P-1, No. 2; VASP energy = -4.187 eV/atom
1.0
3.592 0.001 0.002
0.002 4.595 -0.001
1.786 2.274 14.309
Au Zn Th
4 4 3
Direct
0.688 0.187 0.624
0.312 0.813 0.376
0.550 0.550 0.900
0.450 0.450 0.100
0.742 0.741 0.517
0.405 0.905 0.190
0.595 0.095 0.810
0.258 0.259 0.483
0.142 0.642 0.714
0.858 0.358 0.286
0.000 0.000 0.000

***

Record 4
ThZnAu3 | the Alexandria database | PBE-GGA | relaxed; calculated density = 13.34 Mg/m³; SG = C2/m, No. 12; polymorph energy (0 for the lowest one) = 0.044 eV per atom
1.0
-3.911 -2.351 -2.534
0.761 -3.933 2.475
-2.526 6.991 7.407
Au Zn Th
6 2 2
Direct
0.446 0.699 0.398
0.757 0.003 0.006
0.870 0.208 0.415
0.554 0.301 0.602
0.130 0.792 0.585
0.243 0.997 0.994
0.732 0.866 0.732
0.268 0.134 0.268
0.768 0.607 0.213
0.232 0.393 0.787

***

Record 5
Th2Zn12Au5 | the Alexandria database | PBE-GGA | relaxed; calculated density = 11.00 Mg/m³; SG = R-3m, No. 166; VASP energy = -2.715 eV/atom
1.0
-6.343 -2.229 -1.965
2.083 -6.117 -2.702
-1.297 -3.887 5.681
Au Zn Th
5 12 2
Direct
0.000 0.500 0.000
0.894 0.894 0.894
0.000 0.000 0.500
0.500 0.000 0.000
0.106 0.106 0.106
0.702 0.298 0.000
0.000 0.298 0.702
0.169 0.647 0.647
0.647 0.647 0.169
0.298 0.702 0.000
0.353 0.831 0.353
0.647 0.169 0.647
0.000 0.702 0.298
0.353 0.353 0.831
0.702 0.000 0.298
0.298 0.000 0.702
0.831 0.353 0.353
0.661 0.661 0.661
0.339 0.339 0.339

***

Record 6
ThZn4Au2 | the Alexandria database | PBE-GGA | relaxed; calculated density = 11.18 Mg/m³; SG = P4_2/mnm, No. 136; polymorph energy (0 for the lowest one) = 0.000 eV per atom
1.0
4.375 0.000 0.000
0.000 7.765 0.000
0.000 0.000 7.765
Th Au Zn
2 4 8
Direct
0.000 0.500 0.500
0.500 0.000 0.000
0.500 0.289 0.289
0.000 0.789 0.211
0.500 0.711 0.711
0.000 0.211 0.789
0.000 0.906 0.652
0.500 0.594 0.152
0.500 0.406 0.848
0.000 0.652 0.906
0.000 0.094 0.348
0.000 0.348 0.094
0.500 0.152 0.594
0.500 0.848 0.406

***

Record 7
ThZnAu3 | the Alexandria database | PBE-GGA | relaxed; calculated density = 14.08 Mg/m³; SG = Pnma, No. 62; polymorph energy (0 for the lowest one) = 0.000 eV per atom
1.0
-3.792 3.156 -2.778
-4.060 -1.743 3.561
2.599 10.063 7.887
Zn Au Th
4 12 4
Direct
0.183 0.313 0.250
0.317 0.813 0.250
0.817 0.687 0.750
0.683 0.187 0.750
0.514 0.491 0.892
0.849 0.650 0.250
0.486 0.509 0.108
0.014 0.009 0.392
0.986 0.991 0.892
0.014 0.009 0.108
0.151 0.350 0.750
0.349 0.850 0.750
0.486 0.509 0.392
0.651 0.150 0.250
0.514 0.491 0.608
0.986 0.991 0.608
0.500 0.000 0.500
0.000 0.500 0.000
0.500 0.000 0.000
0.000 0.500 0.500

***

Record 8
Th3Zn3Au | the Alexandria database | PBE-GGA | relaxed; calculated density = 10.89 Mg/m³; SG = Imm2, No. 44; VASP energy = -4.520 eV/atom
1.0
-0.242 -4.289 -1.506
3.611 -0.092 -0.317
-0.940 -1.172 10.368
Au Zn Th
1 3 3
Direct
0.435 0.435 0.870
0.860 0.360 0.721
0.136 0.636 0.272
0.569 0.569 0.137
0.696 0.196 0.393
0.304 0.804 0.608
0.000 0.000 0.000

***

> Among the records above, which one has the lowest calculated density?

Th3Zn3Au

***

> What is the formula in the first record?

Th2Zn2Au3